No. 1
Density functional theory data (meta-GGA SCAN) for LaTlRh2 at its PBEsol-relaxed geometry.

The structure belongs to space group Amm2 (No. 38); the cell edges are 4.073, 3.862 and 10.222 Å and the angles 90.00°, 90.00° and 90.00°. The asymmetric unit holds La at (0.000, 0.000, 0.000), Tl at (0.500, 0.000, 0.710), Rh at (0.000, 0.000, 0.266) and Rh at (0.500, 0.000, 0.432).

The calculation puts the formation energy from the elements at -483 meV per atom. For the total energy, the calculation gives -46.235 eV/atom.


No. 2
Density functional theory data (meta-GGA SCAN) for La2TlRh at its PBEsol-relaxed geometry.

The structure belongs to space group R-3m (No. 166, hexagonal axes); the cell edges are 4.0317, 4.0317 and 24.7331 Å and the angles 90.00°, 90.00° and 120.00°. The asymmetric unit holds La at (0.0000, 0.0000, 0.2326), Tl at (0.0000, 0.0000, 0.0000) and Rh at (0.0000, 0.0000, 0.5000).

The calculation puts the formation energy from the elements at -685 meV per atom. The polymorph energy (0 for the lowest one) comes out at 0 meV/atom. For the total energy, the calculation gives -48.770 eV/atom.


No. 3
Density functional theory data (meta-GGA SCAN) for La2TlRh at its PBEsol-relaxed geometry.

The structure belongs to space group P4/mmm (No. 123); the cell edges are 3.521, 3.521 and 8.306 Å and the angles 90.00°, 90.00° and 90.00°. The asymmetric unit holds La at (0.000, 0.000, 0.208), Tl at (0.500, 0.500, 0.500) and Rh at (0.500, 0.500, 0.000).

The calculation puts the formation energy from the elements at -670 meV per atom. The polymorph energy (0 for the lowest one) comes out at 15 meV/atom. For the total energy, the calculation gives -48.755 eV/atom.


No. 4
Density functional theory data (meta-GGA SCAN) for LaTlRh at its PBEsol-relaxed geometry.

The structure belongs to space group F-43m (No. 216); the cell edges are 6.729, 6.729 and 6.729 Å and the angles 90.00°, 90.00° and 90.00°. The asymmetric unit holds La at (0.000, 0.000, 0.000), Tl at (0.000, 0.000, 0.500) and Rh at (0.250, 0.250, 0.750).

The calculation puts the formation energy from the elements at -568 meV per atom. For the total energy, the calculation gives -50.313 eV/atom.


No. 5
Density functional theory data (meta-GGA SCAN) for LaTl2Rh at its PBEsol-relaxed geometry.

The structure belongs to space group P4mm (No. 99); the cell edges are 3.481, 3.481 and 7.850 Å and the angles 90.00°, 90.00° and 90.00°. The asymmetric unit holds La at (0.000, 0.000, 0.000), Tl at (0.000, 0.000, 0.413), Tl at (0.500, 0.500, 0.681) and Rh at (0.500, 0.500, 0.210).

The calculation puts the formation energy from the elements at -274 meV per atom. For the total energy, the calculation gives -55.673 eV/atom.


No. 6
Density functional theory data (meta-GGA SCAN) for LaTlRh2 at its PBEsol-relaxed geometry.

The structure belongs to space group F-43m (No. 216); the cell edges are 6.847, 6.847 and 6.847 Å and the angles 90.00°, 90.00° and 90.00°. The asymmetric unit holds La at (0.000, 0.000, 0.000), Tl at (0.250, 0.250, 0.750), Rh at (0.000, 0.000, 0.500) and Rh at (0.250, 0.250, 0.250).

The calculation puts the formation energy from the elements at -6 meV per atom. For the total energy, the calculation gives -45.758 eV/atom.


No. 7
Density functional theory data (meta-GGA SCAN) for LaTlRh2 at its PBEsol-relaxed geometry.

The structure belongs to space group P4/mmm (No. 123); the cell edges are 4.543, 4.543 and 3.698 Å and the angles 90.00°, 90.00° and 90.00°. The asymmetric unit holds La at (0.000, 0.000, 0.000), Tl at (0.500, 0.500, 0.000) and Rh at (0.000, 0.500, 0.500).

The calculation puts the formation energy from the elements at -479 meV per atom. For the total energy, the calculation gives -46.231 eV/atom.


No. 8
Density functional theory data (meta-GGA SCAN) for La2RhW at its PBEsol-relaxed geometry.

The structure belongs to space group C2/m (No. 12); the cell edges are 6.252, 9.299 and 3.113 Å and the angles 90.00°, 113.39° and 90.00°. The asymmetric unit holds La at (0.250, 0.250, 0.000), Rh at (0.000, 0.000, 0.500) and W at (0.000, 0.500, 0.500).

The calculation puts the formation energy from the elements at 456 meV per atom. The polymorph energy (0 for the lowest one) comes out at 45 meV/atom. For the total energy, the calculation gives -46.961 eV/atom.


| no. | DOS at the Fermi energy (states/eV/f.u.) |
| --- | --- |
| 1 | 1.763 |
| 2 | 1.731 |
| 3 | 2.794 |
| 4 | 2.041 |
| 5 | 2.369 |
| 6 | 5.462 |
| 7 | 0.825 |
| 8 | 3.210 |